No. 1
{
  "formula": "Ac4Ce3NpN8",
  "functional": "PBE",
  "state": "relaxed",
  "spacegroup": "R-3m",
  "lattice_angstrom": [[-4.225, 5.475, 2.428], [-5.403, -4.873, 1.588], [6.694, -0.990, 2.818]],
  "species": ["Ce", "Ce", "Ce", "N", "N", "N", "N", "N", "N", "N", "N", "Ac", "Ac", "Ac", "Ac", "Np"],
  "fractional_positions": [[0.500, 0.500, 0.500], [0.500, 0.500, 0.000], [0.000, 0.500, 0.500], [0.245, 0.299, 0.022], [0.777, 0.299, 0.554], [0.223, 0.701, 0.978], [0.755, 0.701, 0.978], [0.223, 0.701, 0.446], [0.736, 0.708, 0.472], [0.264, 0.292, 0.528], [0.777, 0.299, 0.022], [0.000, 0.000, 0.500], [0.000, 0.000, 0.000], [0.500, 0.000, 0.500], [0.500, 0.000, 0.000], [0.000, 0.500, 0.000]]
}

No. 2
{
  "formula": "PWSe",
  "functional": "PBE",
  "state": "relaxed",
  "de_polymorph_mev_per_atom": 152,
  "spacegroup": "I4mm",
  "lattice_angstrom": [[-0.138, 4.661, 4.455], [-3.988, 4.395, 2.525], [1.420, -5.961, -2.011]],
  "species": ["P", "Se", "W"],
  "fractional_positions": [[0.047, 0.047, 0.000], [0.292, 0.292, 0.000], [0.661, 0.661, 0.000]]
}

| no. | raw formation energy (eV/atom) | calculated volume (Å³ per cell) | total energy (eV per atom) |
| --- | --- | --- | --- |
| 1 | -1.221 | 285.1 | -8.33 |
| 2 | 0.042 | 56.6 | -7.24 |